# LiSiMo2

A relaxed structure of LiSiMo2 (PBE, Alexandria via LeMat-Bulk).

Cell and atoms, written as extended XYZ:
```
4
Lattice="1.6178 -2.1381 0.0000 1.6178 2.1381 0.0000 0.0000 0.0000 8.6598" Properties=species:S:1:pos:R:3 pbc="T T T"
Li 0.0000 0.0000 0.0000
Si 0.0000 0.0000 4.3299
Mo 1.6178 0.0000 2.3378
Mo 1.6178 0.0000 6.3220
```

Calculated values
SG: No. 65
total DFT energy (no corrections): -7.0699 eV/atom
magnetic moment: 0.0 μB per cell